The following is a GGA-PBE calculation of a geometry-optimized CdFeH2 structure, from Alexandria.

Lattice parameters (Å, degrees): 3.8284 3.8284 3.8284 60.00 60.00 60.00
Fractional positions:
H 0.2500 0.2500 0.2500
H 0.7500 0.7500 0.7500
Fe 0.0000 0.0000 0.0000
Cd 0.5000 0.5000 0.5000

***

The following is a GGA-PBE calculation of a geometry-optimized CdFeH2 structure, from Alexandria.

Lattice parameters (Å, degrees): 4.2756 4.2756 5.2751 66.09 66.09 90.00
Fractional positions:
H 0.5078 0.1250 0.2500
H 0.2422 0.6250 0.2500
H 0.3750 0.4922 0.7500
H 0.8750 0.7578 0.7500
Fe 0.5000 0.5000 0.0000
Fe 0.2500 0.7500 0.5000
Cd 0.0000 0.0000 0.0000
Cd 0.7500 0.2500 0.5000

***

The following is a GGA-PBE calculation of a geometry-optimized Cd2FeH structure, from Alexandria.

Lattice parameters (Å, degrees): 6.6467 6.6467 5.4547 52.46 52.46 90.00
Fractional positions:
H 0.5000 0.5000 0.0000
H 0.2500 0.7500 0.5000
Fe 0.0000 0.0000 0.0000
Fe 0.7500 0.2500 0.5000
Cd 0.5560 0.1250 0.2500
Cd 0.1940 0.6250 0.2500
Cd 0.3750 0.4440 0.7500
Cd 0.8750 0.8060 0.7500

***

The following is a GGA-PBE calculation of a geometry-optimized CdFe3H structure, from Alexandria.

Lattice parameters (Å, degrees): 3.8241 3.8241 3.8241 90.00 90.00 90.00
Fractional positions:
H 0.0000 0.0000 0.0000
Fe 0.0000 0.5000 0.0000
Fe 0.0000 0.0000 0.5000
Fe 0.5000 0.0000 0.0000
Cd 0.5000 0.5000 0.5000

***

The following is a GGA-PBE calculation of a geometry-optimized CdFeH2 structure, from Alexandria.

Lattice parameters (Å, degrees): 2.7655 2.7655 6.6223 77.95 77.95 60.00
Fractional positions:
Cd 0.4916 0.4916 0.5251
Fe 0.6707 0.6707 0.9879
H 0.0410 0.0410 0.8769
H 0.2966 0.2966 0.1101

***

The following is a GGA-PBE calculation of a geometry-optimized Cd2FeH structure, from Alexandria.

Lattice parameters (Å, degrees): 4.4987 4.4987 4.4987 60.00 60.00 60.00
Fractional positions:
H 0.0000 0.0000 0.0000
Fe 0.5000 0.5000 0.5000
Cd 0.2500 0.2500 0.2500
Cd 0.7500 0.7500 0.7500

***

Number 1: E -12.7 eV for the cell shown, offset from the most stable computed form 652 meV per atom. Number 2: E -29.8 eV for the cell shown, offset from the most stable computed form 120 meV per atom. Number 3: E -22.2 eV for the cell shown, offset from the most stable computed form 0 meV per atom. Number 4: E -28.8 eV for the cell shown, offset from the most stable computed form 0 meV per atom. Number 5: E -15.4 eV for the cell shown, offset from the most stable computed form 0 meV per atom. Number 6: E -10.4 eV for the cell shown, offset from the most stable computed form 178 meV per atom.